## P
Density functional theory data (GGA-PBE) for a relaxed structure of ScHgH2.

a b c (Å): 4.567 4.567 6.348
angles (deg): 68.92 68.92 90.00
Sites, in units of the cell vectors:
Sc 0.500 0.500 0.000
Sc 0.250 0.750 0.500
H 0.494 0.125 0.250
H 0.256 0.625 0.250
H 0.375 0.506 0.750
H 0.875 0.744 0.750
Hg 0.000 0.000 0.000
Hg 0.750 0.250 0.500

=====

## Q
Density functional theory data (GGA-PBE) for a relaxed structure of ScHgH2.

a b c (Å): 4.098 4.098 4.098
angles (deg): 60.00 60.00 60.00
Sites, in units of the cell vectors:
Sc 0.000 0.000 0.000
H 0.250 0.250 0.250
H 0.750 0.750 0.750
Hg 0.500 0.500 0.500

=====

It comes down to P, which is 21.1 kJ/mol of atoms more stable than the next structure.

=====

## P
Density functional theory data (GGA-PBE) for a relaxed structure of ScHgH.

a b c (Å): 3.438 3.438 4.750
angles (deg): 90.00 90.00 120.00
Sites, in units of the cell vectors:
Sc 0.667 0.333 0.500
H 0.333 0.667 0.501
Hg 0.000 0.000 0.000

=====

## Q
Density functional theory data (GGA-PBE) for a relaxed structure of ScHgH.

a b c (Å): 3.482 3.482 7.546
angles (deg): 90.00 90.00 90.00
Sites, in units of the cell vectors:
Sc 0.814 0.866 0.067
Sc 0.314 0.366 0.772
Hg 0.814 0.866 0.541
Hg 0.314 0.367 0.298
H 0.814 0.367 0.920
H 0.314 0.866 0.920

=====

It comes down to Q, which is 13.4 kJ/mol of atoms more stable than the next structure.

=====

## P
Density functional theory data (GGA-PBE) for a relaxed structure of ScHg2H.

a b c (Å): 4.763 4.763 4.763
angles (deg): 60.00 60.00 60.00
Sites, in units of the cell vectors:
Sc 0.500 0.500 0.500
H 0.000 0.000 0.000
Hg 0.250 0.250 0.250
Hg 0.750 0.750 0.750

=====

## Q
Density functional theory data (GGA-PBE) for a relaxed structure of ScHg2H.

a b c (Å): 9.135 9.135 6.732
angles (deg): 47.28 47.28 90.00
Sites, in units of the cell vectors:
Sc 0.000 0.000 0.000
Sc 0.750 0.250 0.500
H 0.500 0.500 0.000
H 0.250 0.750 0.500
Hg 0.503 0.125 0.250
Hg 0.247 0.625 0.250
Hg 0.375 0.497 0.750
Hg 0.875 0.753 0.750

=====

It comes down to Q, which is 35.0 kJ/mol of atoms more stable than the next structure.

=====

## P
Density functional theory data (GGA-PBE) for a relaxed structure of Sc3HgH.

a b c (Å): 4.467 4.467 4.467
angles (deg): 90.00 90.00 90.00
Site moments in Bohr magnetons follow the coordinates.
Sites, in units of the cell vectors:
Sc 0.000 0.500 0.000  0.48
Sc 0.000 0.000 0.500  0.35
Sc 0.500 0.000 0.000  0.41
H 0.000 0.000 0.000  -0.01
Hg 0.500 0.500 0.500  0.00

=====

## Q
Density functional theory data (GGA-PBE) for a relaxed structure of Sc3HgH.

a b c (Å): 3.373 7.576 7.576
angles (deg): 74.84 90.00 90.00
Sites, in units of the cell vectors:
Sc 0.863 0.354 0.832
Sc 0.863 0.035 0.661
Sc 0.863 0.608 0.087
Sc 0.363 0.982 0.034
Sc 0.863 0.780 0.406
Sc 0.363 0.406 0.459
Hg 0.363 0.694 0.747
Hg 0.863 0.194 0.246
H 0.363 0.694 0.247
H 0.363 0.194 0.746

=====

It comes down to P, which is 7.2 kJ/mol of atoms more stable than the next structure.

=====

## P
Density functional theory data (GGA-PBE) for a relaxed structure of HgHSe2.

a b c (Å): 5.700 5.700 6.398
angles (deg): 63.55 63.55 90.00
Sites, in units of the cell vectors:
H 0.500 0.500 0.000
H 0.250 0.750 0.500
Hg 0.000 0.000 0.000
Hg 0.750 0.250 0.500
Se 0.536 0.125 0.250
Se 0.214 0.625 0.250
Se 0.375 0.464 0.750
Se 0.875 0.786 0.750

=====

## Q
Density functional theory data (GGA-PBE) for a relaxed structure of HgHSe2.

a b c (Å): 4.785 4.785 4.785
angles (deg): 60.00 60.00 60.00
Site moments in Bohr magnetons follow the coordinates.
Sites, in units of the cell vectors:
H 0.000 0.000 0.000  0.31
Hg 0.500 0.500 0.500  0.06
Se 0.250 0.250 0.250  0.07
Se 0.750 0.750 0.750  0.07

=====

It comes down to P, which is 50.2 kJ/mol of atoms more stable than the next structure.

=====

## P
Density functional theory data (GGA-PBE) for a relaxed structure of HgHSe2.

a b c (Å): 10.425 10.425 10.425
angles (deg): 16.58 16.58 16.58
Sites, in units of the cell vectors:
H 0.000 0.000 0.000
Hg 0.500 0.500 0.500
Se 0.058 0.058 0.058
Se 0.942 0.942 0.942

=====

## Q
Density functional theory data (GGA-PBE) for a relaxed structure of HgHSe2.

a b c (Å): 5.030 7.844 5.466
angles (deg): 90.01 72.89 90.01
Sites, in units of the cell vectors:
Hg 0.241 0.213 0.731
Hg 0.241 0.694 0.731
H 0.358 0.954 0.266
H 0.298 0.454 0.218
Se 0.018 0.954 0.028
Se 0.013 0.454 0.500
Se 0.529 0.454 0.919
Se 0.558 0.954 0.430

=====

## R
Density functional theory data (GGA-PBE) for a relaxed structure of HgHSe2.

a b c (Å): 7.739 7.739 7.739
angles (deg): 26.41 26.41 26.41
Sites, in units of the cell vectors:
H 0.500 0.500 0.500
Hg 0.000 0.000 0.000
Se 0.886 0.886 0.886
Se 0.114 0.114 0.114

=====

It comes down to Q, which is 24.1 kJ/mol of atoms more stable than the next structure.

=====

## P
Density functional theory data (GGA-PBE) for a relaxed structure of Hg3HSe.

a b c (Å): 6.675 11.691 14.436
angles (deg): 26.74 90.00 90.00
Sites, in units of the cell vectors:
Hg 0.121 0.899 0.757
Hg 0.879 0.101 0.243
Hg 0.621 0.101 0.743
Hg 0.379 0.899 0.257
Hg 0.854 0.652 0.708
Hg 0.146 0.348 0.292
Hg 0.354 0.348 0.792
Hg 0.646 0.652 0.208
Hg 0.167 0.629 0.290
Hg 0.833 0.371 0.710
Hg 0.667 0.371 0.210
Hg 0.333 0.629 0.790
H 0.364 0.879 0.541
H 0.636 0.121 0.459
H 0.864 0.121 0.959
H 0.136 0.879 0.041
Se 0.703 0.785 0.821
Se 0.297 0.215 0.179
Se 0.203 0.215 0.679
Se 0.797 0.785 0.321

=====

## Q
Density functional theory data (GGA-PBE) for a relaxed structure of Hg3HSe.

a b c (Å): 4.673 4.673 4.673
angles (deg): 90.00 90.00 90.00
Sites, in units of the cell vectors:
H 0.000 0.000 0.000
Hg 0.000 0.500 0.000
Hg 0.000 0.000 0.500
Hg 0.500 0.000 0.000
Se 0.500 0.500 0.500

=====

It comes down to P, which is 29.0 kJ/mol of atoms more stable than the next structure.

=====

## P
Density functional theory data (GGA-PBE) for a relaxed structure of HgHSe3.

a b c (Å): 5.352 5.352 5.352
angles (deg): 90.00 90.00 90.00
Site moments in Bohr magnetons follow the coordinates.
Sites, in units of the cell vectors:
H 0.500 0.500 0.500  0.37
Hg 0.000 0.000 0.000  0.01
Se 0.000 0.500 0.000  0.60
Se 0.000 0.000 0.500  0.50
Se 0.500 0.000 0.000  0.53

=====

## Q
Density functional theory data (GGA-PBE) for a relaxed structure of HgHSe3.

a b c (Å): 4.504 4.504 4.504
angles (deg): 90.00 90.00 90.00
Sites, in units of the cell vectors:
H 0.000 0.000 0.000
Hg 0.500 0.500 0.500
Se 0.000 0.500 0.000
Se 0.000 0.000 0.500
Se 0.500 0.000 0.000

=====

It comes down to Q, which is 40.6 kJ/mol of atoms more stable than the next structure.